A relaxed MgAgCl2 crystal. Source: Alexandria via LeMat-Bulk, functional PBE.

Cell lengths 3.2565, 3.3935, 10.9677 Å; angles 78.85, 90.00, 90.00 degrees
Closest atoms and distances in Å follow each position.
Atoms (fractional coordinates):
1 Ag 0.5000 0.7500 0.7500  4 Ag 3.26-3.39
2 Cl 0.0000 0.0543 0.1120  2 Mg 2.40
3 Cl 0.0000 0.4457 0.3880  2 Mg 2.40
4 Mg 0.5000 0.2500 0.2500  4 Cl 2.40

Summary:
Size of the total moment   0.00 μB per formula unit
Excess energy over the best structure of this formula in the dataset   208 meV per atom

---

A relaxed MgAgCl2 crystal. Source: Alexandria via LeMat-Bulk, functional PBE.

Cell lengths 7.0076, 7.0076, 7.0103 Å; angles 60.01, 60.01, 90.00 degrees
Closest atoms and distances in Å follow each position.
Atoms (fractional coordinates):
1 Mg 0.5000 0.5000 0.0000  4 Cl 2.37
2 Mg 0.2500 0.7500 0.5000  4 Cl 2.37
3 Ag 0.0000 0.0000 0.0000  4 Cl 3.29
4 Ag 0.7500 0.2500 0.5000  4 Cl 3.29
5 Cl 0.5195 0.1250 0.2500  2 Mg 2.37
6 Cl 0.2305 0.6250 0.2500  2 Mg 2.37
7 Cl 0.3750 0.4805 0.7500  2 Mg 2.37
8 Cl 0.8750 0.7695 0.7500  2 Mg 2.37

Summary:
Size of the total moment   0.00 μB per formula unit
Excess energy over the best structure of this formula in the dataset   290 meV per atom

---

A relaxed MgAgCl2 crystal. Source: Alexandria via LeMat-Bulk, functional PBE.

Cell lengths 6.7764, 6.7764, 6.7764 Å; angles 151.24, 130.28, 58.46 degrees
Closest atoms and distances in Å follow each position.
Atoms (fractional coordinates):
1 Ag 0.2500 0.7500 0.5000  4 Mg 3.31, 4 Cl 3.32, 2 Ag 3.37
2 Cl 0.8943 0.8943 0.0000  2 Mg 2.40
3 Cl 0.6057 0.6057 0.0000  2 Mg 2.40
4 Mg 0.7500 0.2500 0.5000  4 Cl 2.40

Summary:
Size of the total moment   0.00 μB per formula unit
Excess energy over the best structure of this formula in the dataset   219 meV per atom

---

A relaxed Mg2AgCl crystal. Source: Alexandria via LeMat-Bulk, functional PBE.

Cell lengths 9.3250, 9.3250, 9.3250 Å; angles 21.04, 21.04, 21.04 degrees
Closest atoms and distances in Å follow each position.
Atoms (fractional coordinates):
1 Ag 0.5107 0.5107 0.5107  3 Mg 2.79
2 Cl 0.7316 0.7316 0.7316  3 Mg 2.50
3 Mg 0.0082 0.0082 0.0082  3 Cl 2.50
4 Mg 0.2495 0.2495 0.2495  3 Ag 2.79

Summary:
Size of the total moment   0.00 μB per formula unit
Excess energy over the best structure of this formula in the dataset   168 meV per atom

---

A relaxed MgAgCl2 crystal. Source: Alexandria via LeMat-Bulk, functional PBE.

Cell lengths 4.9050, 4.9050, 4.9050 Å; angles 60.00, 60.00, 60.00 degrees
Closest atoms and distances in Å follow each position.
Atoms (fractional coordinates):
1 Mg 0.0000 0.0000 0.0000  8 Cl 3.00
2 Ag 0.5000 0.5000 0.5000  8 Cl 3.00
3 Cl 0.2500 0.2500 0.2500  4 Mg 3.00, 4 Ag 3.00
4 Cl 0.7500 0.7500 0.7500  4 Mg 3.00, 4 Ag 3.00

Summary:
Size of the total moment   0.00 μB per formula unit
Excess energy over the best structure of this formula in the dataset   576 meV per atom

---

A relaxed Mg5AgCl12 crystal. Source: Alexandria via LeMat-Bulk, functional PBE.

Cell lengths 6.4880, 6.3701, 13.1744 Å; angles 89.10, 88.23, 59.39 degrees
Closest atoms and distances in Å follow each position.
Atoms (fractional coordinates):
1 Mg 0.5000 0.0000 0.5000  6 Cl 2.52-2.56
2 Mg 0.1667 0.6666 0.5000  6 Cl 2.52-2.56
3 Mg 0.8333 0.3334 0.5000  6 Cl 2.52-2.56
4 Mg 0.6597 0.6806 0.0000  6 Cl 2.46-2.59
5 Mg 0.3403 0.3194 0.0000  6 Cl 2.46-2.59
6 Ag 0.0000 0.0000 0.0000  4 Cl 2.53
7 Cl 0.8398 0.0000 0.3965  3 Mg 2.52-2.56
8 Cl 0.1602 0.0000 0.6035  3 Mg 2.52-2.56
9 Cl 0.6349 0.0000 0.8852  2 Mg 2.46
10 Cl 0.3651 0.0000 0.1148  2 Mg 2.46
11 Cl 0.3369 0.6607 0.8965  1 Ag 2.53, 2 Mg 2.54-2.59
12 Cl 0.0024 0.6607 0.1035  1 Ag 2.53, 2 Mg 2.54-2.59
13 Cl 0.9976 0.3393 0.8965  1 Ag 2.53, 2 Mg 2.54-2.59
14 Cl 0.6631 0.3393 0.1035  1 Ag 2.53, 2 Mg 2.54-2.59
15 Cl 0.4934 0.3335 0.6035  3 Mg 2.52-2.56
16 Cl 0.8269 0.6665 0.6035  3 Mg 2.52-2.56
17 Cl 0.1731 0.3335 0.3965  3 Mg 2.52-2.56
18 Cl 0.5066 0.6665 0.3965  3 Mg 2.52-2.56

Summary:
Uncorrected energy   -3.4207 eV/atom
Size of the total moment   1.12 μB per formula unit